Record 1
5
Lattice="-4.708 -2.162 0.003 1.101 -2.390 4.960 -2.068 4.509 2.631" Properties=species:S:1:pos:R:3 comment="BaLaMnAg2 (SCAN, single point on PBEsol structure)" dos_ef_per_ev_atom=0.5643 e_above_lowest_polymorph_mev_per_atom=298 formation_enthalpy_0k_ev_per_atom=0.434 spacegroup="P4/mmm, No. 123" pbc="T T T"
Ag -1.034 2.254 1.315
Ag 0.550 -1.195 2.480
La 0.000 0.000 0.000
Mn -2.354 -1.081 0.002
Ba -2.838 -0.021 3.797

***

Record 2
76
Lattice="-8.109 1.456 -2.281 -2.393 -0.495 8.192 4.103 27.309 2.850" Properties=species:S:1:pos:R:3 comment="K2Y4Sn2S11 (SCAN, single point on PBEsol structure)" dos_ef_per_ev_atom=0.0000 formation_energy_uncorrected_kj_per_mol_fu=-3093 spacegroup="P4/ncc, No. 130" pbc="T T T"
S -1.117 1.300 1.466
S -3.500 18.511 2.968
S 0.058 12.639 1.710
S -6.373 2.056 1.795
S -2.808 24.083 3.629
S -5.082 7.600 2.100
S -0.705 23.401 7.138
S -0.601 20.819 4.208
S -3.756 1.393 4.376
S -3.771 13.138 2.440
S -1.766 15.959 0.449
S -4.176 21.646 1.425
S -5.647 10.265 4.900
S -1.206 15.151 4.096
S -2.882 4.377 2.294
S -0.031 26.489 4.340
S -3.369 7.015 5.237
S -1.969 9.909 3.017
S -6.831 13.143 6.792
S -6.404 4.680 4.463
S -5.486 16.108 1.085
S -5.247 24.071 7.254
S -6.004 18.486 6.817
S -6.450 5.163 -0.104
S 1.734 23.413 3.512
S 0.821 17.881 2.789
S -7.904 7.644 5.738
S -0.539 14.650 7.936
S -3.002 12.644 6.062
S -5.758 10.735 0.557
S -0.547 6.971 1.598
S -9.012 2.149 4.705
S -3.747 21.106 5.979
S -2.639 26.602 7.012
S -2.836 3.894 6.860
S -2.885 27.190 1.730
S 0.618 11.831 5.357
S -4.819 15.607 4.925
S 2.670 25.486 6.782
S -0.172 20.279 8.761
S -1.858 9.439 7.359
S -3.818 2.304 -0.976
S -1.683 17.855 6.639
S 0.215 25.901 9.622
Y -5.290 12.887 4.638
Y -3.531 1.333 7.027
Y -0.010 25.961 6.971
Y 2.546 25.879 4.085
Y -6.362 2.022 4.500
Y -5.289 26.729 7.217
Y -6.360 15.864 7.079
Y -3.694 1.911 1.721
Y -6.525 2.600 -0.806
Y -2.595 15.369 6.408
Y -5.900 13.372 0.861
Y -3.357 15.874 2.664
Y -2.733 26.646 4.330
Y -0.946 11.926 7.590
Y -1.556 12.411 3.814
Y 0.407 15.378 1.992
K -3.254 6.054 -0.585
K -0.675 3.224 4.458
K 0.055 8.081 4.965
K -0.473 24.566 1.347
K 2.106 21.736 6.390
K -1.203 19.709 0.841
K 1.377 16.879 5.884
K -2.525 10.911 -0.078
Sn -3.981 8.934 3.838
Sn 1.270 8.454 0.882
Sn -2.418 19.336 4.924
Sn -1.930 22.589 5.263
Sn -4.470 5.681 3.498
Sn 3.322 22.108 2.307
Sn 0.781 5.201 0.543
Sn 2.833 18.856 1.968

***

Record 3
5
Lattice="4.289 0.000 0.000 0.000 4.289 0.000 0.000 0.000 4.289" Properties=species:S:1:pos:R:3 comment="KNi3B (SCAN, single point on PBEsol structure)" dos_ef_per_ev_atom=0.3884 formation_enthalpy_0k_ev_per_atom=3.011 spacegroup="Pm-3m, No. 221" pbc="T T T"
Ni 2.144 0.000 0.000
Ni 0.000 2.144 0.000
Ni 0.000 0.000 2.144
B 2.144 2.144 2.144
K 0.000 0.000 0.000

***

Record 4
4
Lattice="3.220 -0.015 0.000 -0.686 3.146 0.000 0.000 0.000 8.092" Properties=species:S:1:pos:R:3 comment="Y2PW (SCAN, single point on PBEsol structure)" dos_ef_per_ev_atom=0.6792 formation_enthalpy_0k_ev_per_atom=-0.095 spacegroup="Cmmm, No. 65" pbc="T T T"
Y 0.000 0.000 2.188
Y 0.000 0.000 5.904
P 1.267 1.565 4.046
W 1.267 1.565 0.000

***

> Which formula does entry 1 have?

BaLaMnAg2

***

> Which formula does entry 4 have?

Y2PW